# 1
VASP calculation (PBE-GGA) on a relaxed structure of MnTeH2.

Crystal system ... tetragonal
Energy above the lowest structure with this stoichiometry ... 0 meV per atom
D(E_F) ... 1.462 states/eV per cell

a b c (Å): 4.519 4.519 5.954
angles (deg): 67.70 67.70 90.00
Last column: magnetic moment on the atom in μB.
Fractional coordinates of all 8 atoms:
H 0.375 0.125 0.250  -0.05
H 0.375 0.625 0.250  -0.05
H 0.375 0.625 0.750  -0.05
H 0.875 0.625 0.750  -0.05
Te 0.000 0.000 0.000  -0.22
Te 0.750 0.250 0.500  -0.22
Mn 0.500 0.500 0.000  3.37
Mn 0.250 0.750 0.500  3.36

***

# 2
VASP calculation (PBE-GGA) on a relaxed structure of Cu3AgCl8.

Crystal system ... monoclinic
D(E_F) ... 8.886 states/eV per cell
Formation energy from raw total energies ... -0.380 eV per atom

a b c (Å): 4.196 7.784 10.384
angles (deg): 116.19 101.66 90.00
Last column: magnetic moment on the atom in μB.
Fractional coordinates of all 12 atoms:
Cu 0.418 0.269 0.837  -0.15
Cu 0.668 0.336 0.337  0.34
Cu 0.591 0.742 0.182  -0.19
Ag 0.330 0.644 0.660  0.05
Cl 0.445 0.585 0.890  -0.02
Cl 0.420 0.986 0.840  -0.01
Cl 0.865 0.219 0.729  -0.06
Cl 0.223 0.302 0.445  0.12
Cl 0.751 0.655 0.502  0.09
Cl 0.140 0.789 0.281  -0.08
Cl 0.564 0.419 0.128  -0.01
Cl 0.583 0.025 0.166  0.02

***

# 3
VASP calculation (PBE-GGA) on a relaxed structure of K2GeS2.

Crystal system ... tetragonal
Energy above the lowest structure with this stoichiometry ... 331 meV per atom
D(E_F) ... 3.519 states/eV per cell
Formation energy from raw total energies ... -0.517 eV per atom

a b c (Å): 7.494 7.494 4.640
angles (deg): 90.00 90.00 90.00
Fractional coordinates of all 10 atoms:
S 0.318 0.818 0.000
S 0.818 0.682 0.000
S 0.682 0.182 0.000
S 0.182 0.318 0.000
Ge 0.000 0.000 0.000
Ge 0.500 0.500 0.000
K 0.139 0.639 0.500
K 0.639 0.861 0.500
K 0.861 0.361 0.500
K 0.361 0.139 0.500

***

# 4
VASP calculation (PBE-GGA) on a relaxed structure of Lu2SbIr.

Crystal system ... tetragonal
D(E_F) ... 0.956 states/eV per cell
Formation energy from raw total energies ... -0.813 eV per atom

a b c (Å): 3.479 3.479 7.435
angles (deg): 90.00 90.00 90.00
Fractional coordinates of all 4 atoms:
Sb 0.500 0.500 0.500
Ir 0.500 0.500 0.000
Lu 0.000 0.000 0.785
Lu 0.000 0.000 0.215

***

# 5
VASP calculation (PBE-GGA) on a relaxed structure of MnSi2Sn2Pt7.

Crystal system ... tetragonal
D(E_F) ... 5.073 states/eV per cell
Formation energy from raw total energies ... -0.480 eV per atom

a b c (Å): 3.863 3.863 15.298
angles (deg): 82.75 82.75 89.99
Last column: magnetic moment on the atom in μB.
Fractional coordinates of all 12 atoms:
Mn 0.000 0.000 0.000  3.61
Si 0.617 0.617 0.766  -0.03
Si 0.383 0.383 0.234  -0.03
Sn 0.789 0.789 0.422  -0.01
Sn 0.211 0.211 0.578  -0.01
Pt 0.500 0.500 0.000  0.08
Pt 0.306 0.306 0.389  -0.02
Pt 0.694 0.694 0.611  -0.02
Pt 0.932 0.432 0.137  -0.01
Pt 0.432 0.932 0.137  -0.01
Pt 0.568 0.068 0.863  -0.01
Pt 0.068 0.568 0.863  -0.01

***

# 6
VASP calculation (PBE-GGA) on a relaxed structure of RbFeI2.

Crystal system ... trigonal
Energy above the lowest structure with this stoichiometry ... 279 meV per atom
D(E_F) ... 4.360 states/eV per cell
Formation energy from raw total energies ... -0.151 eV per atom

a b c (Å): 4.274 4.274 10.475
angles (deg): 78.23 78.23 60.00
Last column: magnetic moment on the atom in μB.
Fractional coordinates of all 4 atoms:
I 0.117 0.117 0.648  0.07
I 0.883 0.883 0.352  0.07
Fe 0.500 0.500 0.500  3.10
Rb 0.000 0.000 0.000  0.00

***

# 7
VASP calculation (PBE-GGA) on a relaxed structure of NdAs2Rh3.

Crystal system ... monoclinic
ΔE_f ... -862 meV per atom
D(E_F) ... 8.815 states/eV per cell

a b c (Å): 4.030 8.481 9.973
angles (deg): 107.08 90.00 103.75
Fractional coordinates of all 18 atoms:
Nd 0.156 0.313 0.697
Nd 0.844 0.687 0.303
Nd 0.000 0.000 0.000
As 0.196 0.393 0.129
As 0.804 0.607 0.871
As 0.461 0.923 0.221
As 0.539 0.077 0.779
As 0.362 0.724 0.546
As 0.638 0.276 0.454
Rh 0.043 0.086 0.329
Rh 0.957 0.914 0.671
Rh 0.219 0.439 0.393
Rh 0.781 0.561 0.607
Rh 0.625 0.249 0.206
Rh 0.375 0.751 0.794
Rh 0.500 0.000 0.500
Rh 0.321 0.642 0.041
Rh 0.679 0.358 0.959

***

# 8
VASP calculation (PBE-GGA) on a relaxed structure of Ag8Te6P.

Crystal system ... orthorhombic
D(E_F) ... 3.254 states/eV per cell
Formation energy from raw total energies ... -0.004 eV per atom

a b c (Å): 8.170 8.262 11.828
angles (deg): 90.00 90.00 90.00
Fractional coordinates of all 30 atoms:
Ag 0.416 0.000 0.936
Ag 0.584 0.500 0.436
Ag 0.894 0.803 0.153
Ag 0.106 0.697 0.653
Ag 0.106 0.303 0.653
Ag 0.894 0.197 0.153
Ag 0.477 0.798 0.731
Ag 0.523 0.702 0.231
Ag 0.523 0.298 0.231
Ag 0.477 0.202 0.731
Ag 0.853 0.815 0.817
Ag 0.147 0.685 0.317
Ag 0.147 0.315 0.317
Ag 0.853 0.185 0.817
Ag 0.277 0.000 0.527
Ag 0.723 0.500 0.027
Te 0.739 0.000 0.994
Te 0.261 0.500 0.494
Te 0.195 0.000 0.756
Te 0.805 0.500 0.256
Te 0.001 0.000 0.366
Te 0.999 0.500 0.866
Te 0.517 0.000 0.362
Te 0.483 0.500 0.862
Te 0.250 0.786 0.099
Te 0.750 0.714 0.599
Te 0.750 0.286 0.599
Te 0.250 0.214 0.099
P 0.756 0.000 0.496
P 0.244 0.500 0.996

***

# 9
VASP calculation (PBE-GGA) on a relaxed structure of RbMn3Mo.

Crystal system ... cubic
Energy above the lowest structure with this stoichiometry ... 0 meV per atom
ΔE_f ... 1217 meV per atom
D(E_F) ... 3.900 states/eV per cell

a b c (Å): 4.999 4.999 4.999
angles (deg): 90.00 90.00 90.00
Last column: magnetic moment on the atom in μB.
Fractional coordinates of all 5 atoms:
Mo 0.000 0.000 0.000  -1.37
Mn 0.000 0.500 0.000  3.69
Mn 0.000 0.000 0.500  3.52
Mn 0.500 0.000 0.000  3.70
Rb 0.500 0.500 0.500  0.01

***

# 10
VASP calculation (PBE-GGA) on a relaxed structure of Na3VBi3S8.

Crystal system ... trigonal
D(E_F) ... 3.159 states/eV per cell
Formation energy from raw total energies ... -0.724 eV per atom

a b c (Å): 7.914 7.914 8.215
angles (deg): 118.82 90.00 120.00
Last column: magnetic moment on the atom in μB.
Fractional coordinates of all 15 atoms:
Na 0.000 0.000 0.000  0.00
Na 0.000 0.500 0.000  0.00
Na 0.500 0.500 0.000  0.00
V 0.000 0.000 0.500  1.22
Bi 0.500 0.000 0.500  0.02
Bi 0.500 0.500 0.500  0.02
Bi 0.000 0.500 0.500  0.02
S 0.252 0.504 0.257  -0.01
S 0.748 0.496 0.743  -0.01
S 0.785 0.570 0.294  -0.04
S 0.215 0.430 0.706  -0.04
S 0.785 0.009 0.294  -0.04
S 0.215 0.991 0.706  -0.04
S 0.223 0.009 0.294  -0.04
S 0.777 0.991 0.706  -0.04